A geometry-optimized Li2B2RhO6 structure. Source: Alexandria via LeMat-Bulk, functional GGA-PBE.

SG ... No. 147
Volume ... 118.8 Å³ per cell
Mass density ... 3.3 Mg/m³
Formation energy without anion corrections ... -1.82 eV per atom

The structure in extended XYZ format:
```
11
Lattice="4.8391 0.0000 0.0000 -2.4196 4.1908 0.0000 0.0000 0.0000 5.8586" Properties=species:S:1:pos:R:3 pbc="T T T"
Li 0.0000 2.7939 1.7223
Li 2.4196 1.3969 4.1363
B 0.0000 2.7939 4.7387
B 2.4196 1.3969 1.1198
Rh 0.0000 0.0000 0.0000
O -1.3800 2.8963 4.6919
O 0.6013 1.5476 4.6919
O 1.6409 0.2530 1.1667
O 0.7787 3.9378 4.6919
O 1.8183 2.6432 1.1667
O 3.7995 1.2946 1.1667
```